No. 1
Entry from Alexandria: a geometry-optimized Mg2BiS2 structure (GGA-PBE).

Space group   I4/mmm
M_tot   1.2 μB per cell
E   -3.636 eV per atom
N(E_F)   1.2 states/eV/f.u.

Cell: 4.2178 4.2178 9.3756 Å, 77.00 77.00 90.00°
Fractional coordinates of all 5 atoms:
Mg  0.7500  0.2500  0.5000
Mg  0.2500  0.7500  0.5000
S  0.3204  0.3204  0.3592
S  0.6796  0.6796  0.6408
Bi  0.0000  0.0000  0.0000

***

No. 2
Entry from Alexandria: a geometry-optimized MgOsSe2 structure (GGA-PBE).

Space group   P2/m
M_tot   0.0 μB per cell
E   -4.901 eV per atom
N(E_F)   2.8 states/eV/f.u.

Cell: 3.7309 4.8214 4.8336 Å, 72.72 90.00 90.00°
Fractional coordinates of all 4 atoms:
Mg  0.5000  0.2500  0.2500
Os  0.5000  0.7500  0.7500
Se  0.0000  0.9508  0.9529
Se  0.0000  0.5492  0.5471

***

No. 3
Entry from Alexandria: a geometry-optimized Ho5As2S2 structure (GGA-PBE).

Space group   Cmce
M_tot   0.0 μB per cell
E   -5.861 eV per atom
N(E_F)   7.0 states/eV/f.u.

Cell: 7.5563 7.9679 7.9679 Å, 124.32 90.00 90.00°
Fractional coordinates of all 18 atoms:
Ho  0.0000  0.0000  0.0000
Ho  0.5000  0.5000  0.5000
Ho  0.1520  0.1987  0.4792
Ho  0.8480  0.5208  0.8013
Ho  0.6520  0.0208  0.3013
Ho  0.3480  0.6987  0.9792
Ho  0.8480  0.8013  0.5208
Ho  0.1520  0.4792  0.1987
Ho  0.3480  0.9792  0.6987
Ho  0.6520  0.3013  0.0208
As  0.3545  0.1454  0.1454
As  0.6455  0.8546  0.8546
As  0.8545  0.3546  0.3546
As  0.1455  0.6454  0.6454
S  0.0000  0.8061  0.1939
S  0.5000  0.3061  0.6939
S  0.0000  0.1939  0.8061
S  0.5000  0.6939  0.3061

***

No. 4
Entry from Alexandria: a geometry-optimized La4GaPI2 structure (GGA-PBE).

Space group   P2/m
M_tot   0.0 μB per cell
E   -5.044 eV per atom
N(E_F)   5.5 states/eV/f.u.

Cell: 4.4110 7.5703 8.2380 Å, 108.28 90.00 90.00°
Fractional coordinates of all 8 atoms:
La  0.5000  0.2415  0.2046
La  0.5000  0.7585  0.7954
La  0.0000  0.2736  0.8013
La  0.0000  0.7264  0.1987
Ga  0.0000  0.0000  0.0000
P  0.5000  0.5000  0.0000
I  0.5000  0.0000  0.5000
I  0.0000  0.5000  0.5000

***

No. 5
Entry from Alexandria: a geometry-optimized Co2ReAu structure (GGA-PBE).

Offset from the most stable computed form   0.88 eV per formula unit
Space group   I-4m2
Energy of formation from the pure elements   373 meV per atom
M_tot   0.1 μB per cell
E   -7.112 eV per atom
N(E_F)   4.6 states/eV/f.u.

Cell: 4.7346 4.7346 4.7346 Å, 134.53 134.53 66.27°
Fractional coordinates of all 4 atoms:
Au  0.7500  0.2500  0.5000
Co  0.0000  0.0000  0.0000
Co  0.2500  0.7500  0.5000
Re  0.5000  0.5000  0.0000

***

No. 6
Entry from Alexandria: a geometry-optimized ScPRh3 structure (GGA-PBE).

Offset from the most stable computed form   0.00 eV per formula unit
Space group   Pm-3m
Energy of formation from the pure elements   -546 meV per atom
M_tot   0.0 μB per cell
E   -7.306 eV per atom
N(E_F)   10.3 states/eV/f.u.

Cell: 4.3899 4.3899 4.3899 Å, 90.00 90.00 90.00°
Fractional coordinates of all 5 atoms:
Sc  0.5000  0.5000  0.5000
P  0.0000  0.0000  0.0000
Rh  0.0000  0.5000  0.0000
Rh  0.0000  0.0000  0.5000
Rh  0.5000  0.0000  0.0000

***

Q: Number 1 is which compound?
A: Mg2BiS2

***

Q: Number 2 is which compound?
A: MgOsSe2